[1]
PBE NaCd3Sb3, relaxed; distance to the lowest polymorph of the same formula = 101 meV/atom; Fermi-level density of states = 11.0 states/eV/cell; raw total energy = -0.0841 Ha/atom
1.0
-0.5329 -4.9311 -6.3281
7.9149 -1.3584 0.3920
-1.3095 -6.2036 4.9443
Cd Sb Na
6 6 2
Cartesian
2.9753 -5.3318 3.9042
5.6698 -3.4843 -2.8701
-0.7880 -4.3345 0.8901
3.6301 -2.2301 1.4321
1.7123 -2.8051 -3.0661
-1.0544 -6.8001 -2.2740
-0.5938 -4.0164 -1.9280
3.5578 -4.3775 -4.5501
-1.2486 -7.1182 0.5441
1.3240 -3.4414 2.5701
3.8242 -1.9119 -1.3860
5.2814 -4.1205 2.7661
0.0000 0.0000 0.0000
3.0363 -6.2465 -0.4959

=====

[2]
PBE Cu2BiN2, relaxed; distance to the lowest polymorph of the same formula = 0 meV/atom; Fermi-level density of states = 1.5 states/eV/cell; raw total energy = -0.1765 Ha/atom
1.0
-2.0396 -3.1530 -1.0574
3.2434 -1.6121 -1.4493
1.4173 -4.1998 2.5930
Cu Bi N
2 1 2
Cartesian
1.7301 -5.9380 -0.0241
0.8910 -3.0269 0.1105
0.0000 0.0000 0.0000
2.6313 -4.0972 -0.0548
-0.0102 -4.8677 0.1412

=====

[3]
PBE Na2PrTlF8, relaxed; Fermi-level density of states = 0.0 states/eV/cell; raw total energy = -0.1827 Ha/atom
1.0
-3.2551 0.7088 -2.0732
-1.5771 -5.3517 0.6443
-3.7809 1.9078 6.5889
F Na Tl Pr
8 2 1 1
Cartesian
-2.1193 -3.6330 2.0825
-1.9901 -0.8781 -0.8878
-4.0754 -2.6460 5.4913
-6.4938 0.8979 3.0776
-4.5378 -0.0891 -0.3312
-3.8999 0.0111 2.4143
-4.7133 -2.7462 2.7457
-6.6231 -1.8570 6.0478
-5.2945 -0.8691 4.3016
-3.3187 -1.8660 0.8584
0.0000 0.0000 0.0000
-1.8905 0.9539 3.2945

=====

[4]
PBE Ce5CdSn3, relaxed; ΔH_f (0 K) = -0.5212 eV per atom; Fermi-level density of states = 41.7 states/eV/cell; raw total energy = -0.1931 Ha/atom
1.0
-5.4913 -1.0926 3.3815
5.1820 -2.3388 7.6595
-2.6519 9.0584 -1.3796
Ce Sn Cd
10 6 2
Cartesian
-0.1750 0.9140 6.3372
-2.5633 -1.5214 4.8349
-0.6135 1.7438 2.7302
-2.3478 3.8832 6.9311
-0.0406 5.2593 1.6334
2.2539 -1.9100 6.2061
-2.7863 4.7130 3.3241
1.9531 3.7275 7.5392
-4.9145 1.8995 2.1221
2.5707 1.4603 4.6465
-3.2041 1.6091 4.8058
-0.8094 -2.3130 7.4273
0.2428 4.0179 4.8555
2.8507 0.6620 8.0062
-5.8120 4.9650 1.6551
0.5000 -1.1184 3.6137
-2.7457 -0.5463 1.6908
0.0000 0.0000 0.0000

=====

[5]
PBE KTl9Pb2, relaxed; ΔH_f (0 K) = -0.0204 eV per atom; Fermi-level density of states = 4.7 states/eV/cell; raw total energy = -0.0920 Ha/atom
1.0
3.5276 0.0000 0.0000
0.0000 9.7303 -5.6178
0.0000 0.0000 11.2356
Tl Pb K
9 2 1
Cartesian
0.0000 4.8651 -2.8089
1.7638 7.9960 2.6138
1.7638 3.4686 0.0000
1.7638 7.9960 -2.6139
1.7638 6.2616 5.6178
0.0000 4.8651 2.8089
0.0000 0.0000 5.6178
1.7638 1.7343 3.0039
1.7638 1.7343 8.2316
0.0000 6.4869 0.0000
0.0000 3.2434 5.6178
0.0000 0.0000 0.0000

=====

[6]
PBE KIn5, relaxed; distance to the lowest polymorph of the same formula = 21 meV/atom; ΔH_f (0 K) = -0.0270 eV per atom; Fermi-level density of states = 1.6 states/eV/cell; raw total energy = -0.0916 Ha/atom
1.0
1.7869 6.5154 0.1047
-1.7869 6.5154 0.1047
0.0000 2.1371 7.7533
In K
5 1
Cartesian
0.0000 13.1834 0.7944
0.0000 8.9167 2.1575
0.0000 4.8226 3.0474
0.0000 13.7116 4.2526
0.0000 9.4945 5.5455
0.0000 5.8777 6.9731